{"formula": "Y2ReIrF", "functional": "PBE", "state": "optimized geometry", "lattice": [[5.489, 0.000, 0.000], [0.000, 5.489, 0.000], [0.000, 0.000, 4.654]], "species": ["Y", "Y", "Re", "Ir", "F"], "frac_coords": [[0.000, 0.500, 0.000], [0.500, 0.000, 0.000], [0.000, 0.000, 0.500], [0.000, 0.000, 0.000], [0.500, 0.500, 0.500]], "vol_a3_per_atom": 28.04, "formation_energy_uncorrected_ev_per_atom": -0.04, "spacegroup": "P4/mmm"}